[1]
The following is a DFT calculation (GGA-PBE) of a geometry-optimized Ba4CO7 structure.

Its symmetry is C2/m.

Lattice parameters (Å, degrees): 5.0580 7.5826 7.2599 74.23 69.61 70.52
With the nearest neighbours (Å) after each atom.
Fractional positions:
1 Ba 0.5971 0.2073 0.5984  6 O 2.71-2.90
2 Ba 0.4029 0.7927 0.4016  6 O 2.71-2.90
3 Ba 0.7350 0.6664 0.8635  3 O 2.42-2.71
4 Ba 0.2650 0.3336 0.1365  3 O 2.42-2.71
5 C 0.0000 0.0000 0.0000  2 O 1.18
6 O 0.8161 0.8426 0.5253  3 Ba 2.42-2.71
7 O 0.1839 0.1574 0.4747  3 Ba 2.42-2.71
8 O 0.0537 0.8342 0.0585  1 C 1.18
9 O 0.9463 0.1658 0.9415  1 C 1.18
10 O 0.3469 0.5281 0.7781  4 Ba 2.59-2.81
11 O 0.5000 0.0000 0.0000  2 C 2.53, 2 Ba 2.71, 4 O 2.79
12 O 0.6531 0.4719 0.2219  4 Ba 2.59-2.81


[2]
The following is a DFT calculation (GGA-PBE) of a geometry-optimized Ti4ZnMo3 structure.

Its symmetry is Pmmm. For the formation energy, the calculation gives -0.126 eV/atom.

Lattice parameters (Å, degrees): 3.2198 4.5250 8.6884 90.00 90.00 90.00
With the nearest neighbours (Å) after each atom.
Fractional positions:
1 Zn 0.5000 0.5000 0.0000  8 Ti 2.77-2.78
2 Mo 0.5000 0.0000 0.2444  8 Ti 2.66-2.78
3 Mo 0.5000 0.5000 0.5000  8 Ti 2.64-2.78
4 Mo 0.5000 0.0000 0.7556  8 Ti 2.66-2.78
5 Ti 0.0000 0.0000 0.5000  8 Mo 2.74-2.78
6 Ti 0.0000 0.5000 0.7406  6 Mo 2.64-2.78, 2 Zn 2.77
7 Ti 0.0000 0.0000 0.0000  4 Mo 2.66, 4 Zn 2.78
8 Ti 0.0000 0.5000 0.2594  6 Mo 2.64-2.78, 2 Zn 2.77


| no. | calculated volume (Å³/f.u.) | total moment (μB/cell) | final energy (eV/cell) |
| --- | --- | --- | --- |
| 1 | 242.2 | 2.00 | -73.89 |
| 2 | 126.6 | 0.00 | -66.35 |